The following is a DFT calculation (GGA-PBE) of crystalline LiDy2AgSe2O2 at its relaxed geometry.

Computed properties:
Electronic total energy, Ry/atom: -0.443
Magnetization, μB/atom: 0.000
V, Å³/atom: 17.5

```
data_LiDy2AgSe2O2
_chemical_formula_sum 'Li1 Dy2 Ag1 Se2 O2'
_cell_length_a 3.9276
_cell_length_b 3.9276
_cell_length_c 9.0914
_cell_angle_alpha 90.00
_cell_angle_beta 90.00
_cell_angle_gamma 90.00
_symmetry_space_group_name_H-M 'P 1'
_symmetry_Int_Tables_number 1
loop_
_symmetry_equiv_pos_as_xyz
'x,y,z'
loop_
_atom_site_label
_atom_site_type_symbol
_atom_site_fract_x
_atom_site_fract_y
_atom_site_fract_z
Li1 Li 0.5000 0.5000 0.0000
Dy1 Dy 0.5000 0.0000 0.3785
Dy2 Dy 0.0000 0.5000 0.6215
O1 O 0.0000 0.0000 0.5000
O2 O 0.5000 0.5000 0.5000
Ag1 Ag 0.0000 0.0000 0.0000
Se1 Se 0.0000 0.5000 0.1979
Se2 Se 0.5000 0.0000 0.8021
```



The following is a DFT calculation (GGA-PBE) of crystalline RbFeAgSe3 at its relaxed geometry.

Computed properties:
Electronic total energy, Ry/atom: -0.298
Magnetization, μB/atom: 0.557
V, Å³/atom: 25.0

```
data_RbFeAgSe3
_chemical_formula_sum 'Rb2 Fe2 Ag2 Se6'
_cell_length_a 10.2742
_cell_length_b 8.1299
_cell_length_c 8.1299
_cell_angle_alpha 153.76
_cell_angle_beta 90.00
_cell_angle_gamma 90.00
_symmetry_space_group_name_H-M 'P 1'
_symmetry_Int_Tables_number 1
loop_
_symmetry_equiv_pos_as_xyz
'x,y,z'
loop_
_atom_site_label
_atom_site_type_symbol
_atom_site_fract_x
_atom_site_fract_y
_atom_site_fract_z
Se1 Se 0.5199 0.6093 0.3907
Se2 Se 0.7500 0.9306 0.0694
Se3 Se 0.0199 0.3907 0.6093
Se4 Se 0.4801 0.3907 0.6093
Se5 Se 0.9801 0.6093 0.3907
Se6 Se 0.2500 0.0694 0.9306
Ag1 Ag 0.7500 0.5472 0.4528
Ag2 Ag 0.2500 0.4528 0.5472
Rb1 Rb 0.7500 0.2425 0.7575
Rb2 Rb 0.2500 0.7575 0.2425
Fe1 Fe 0.5000 0.0000 0.0000
Fe2 Fe 0.0000 0.0000 0.0000
```



The following is a DFT calculation (GGA-PBE) of crystalline CoGeMoIr at its relaxed geometry.

Computed properties:
Excess energy over the best structure of this formula in the dataset, meV per atom: 0
Magnetization, μB/atom: 0.134
V, Å³/atom: 14.1

```
data_CoGeMoIr
_chemical_formula_sum 'Co1 Ge1 Mo1 Ir1'
_cell_length_a 4.3051
_cell_length_b 4.3051
_cell_length_c 4.3051
_cell_angle_alpha 60.00
_cell_angle_beta 60.00
_cell_angle_gamma 60.00
_symmetry_space_group_name_H-M 'P 1'
_symmetry_Int_Tables_number 1
loop_
_symmetry_equiv_pos_as_xyz
'x,y,z'
loop_
_atom_site_label
_atom_site_type_symbol
_atom_site_fract_x
_atom_site_fract_y
_atom_site_fract_z
Ir1 Ir 0.5000 0.5000 0.5000
Co1 Co 0.7500 0.7500 0.7500
Mo1 Mo 0.2500 0.2500 0.2500
Ge1 Ge 0.0000 0.0000 0.0000
```



The following is a DFT calculation (GGA-PBE) of crystalline Pr2NdAl2Pd4 at its relaxed geometry.

Computed properties:
Electronic total energy, Ry/atom: -0.407
Magnetization, μB/atom: 0.000
V, Å³/atom: 21.9

```
data_Pr2NdAl2Pd4
_chemical_formula_sum 'Pr2 Nd1 Al2 Pd4'
_cell_length_a 5.6480
_cell_length_b 5.6480
_cell_length_c 8.8146
_cell_angle_alpha 97.82
_cell_angle_beta 97.82
_cell_angle_gamma 45.20
_symmetry_space_group_name_H-M 'P 1'
_symmetry_Int_Tables_number 1
loop_
_symmetry_equiv_pos_as_xyz
'x,y,z'
loop_
_atom_site_label
_atom_site_type_symbol
_atom_site_fract_x
_atom_site_fract_y
_atom_site_fract_z
Al1 Al 0.3207 0.3207 0.2112
Al2 Al 0.6793 0.6793 0.7888
Pr1 Pr 0.6235 0.6235 0.3835
Pr2 Pr 0.3765 0.3765 0.6165
Pd1 Pd 0.0862 0.0862 0.6407
Pd2 Pd 0.2788 0.2788 0.9118
Pd3 Pd 0.9138 0.9138 0.3593
Pd4 Pd 0.7212 0.7212 0.0882
Nd1 Nd 0.0000 0.0000 0.0000
```